# TiNb2Tl

TiNb2Tl after structural relaxation (GGA-PBE, Alexandria via LeMat-Bulk).

Cell lengths 4.0376, 4.0376, 4.6065 Å; angles 90.00, 90.00, 90.00 degrees
Fractional positions:
Ti 0.0000 0.0000 0.0000
Nb 0.0000 0.5000 0.5000
Nb 0.5000 0.0000 0.5000
Tl 0.5000 0.5000 0.0000

Output
energy relative to the lowest polymorph listed for this composition: 0.0 meV/atom
calculated volume: 75.1 Å³/cell
formation energy from the elements: 0.106 eV per atom

---

# ScAl2Cd

ScAl2Cd after structural relaxation (GGA-PBE, Alexandria via LeMat-Bulk).

Cell lengths 3.0986, 3.0986, 28.9604 Å; angles 90.00, 90.00, 120.00 degrees
Fractional positions:
Sc 0.0000 0.0000 0.0000
Sc 0.3333 0.6667 0.6667
Sc 0.6667 0.3333 0.3333
Al 0.0000 0.0000 0.4930
Al 0.0000 0.0000 0.7487
Al 0.3333 0.6667 0.1597
Al 0.3333 0.6667 0.4154
Al 0.6667 0.3333 0.0821
Al 0.6667 0.3333 0.8264
Cd 0.0000 0.0000 0.2431
Cd 0.3333 0.6667 0.9097
Cd 0.6667 0.3333 0.5764

Output
calculated volume: 240.8 Å³/cell
formation energy from the elements: -0.031 eV per atom